# HfAlRu3

A relaxed HfAlRu3 crystal (PBE, Alexandria).

Computed properties:
- N(E_F) (states/eV/f.u.) = 5.05
- total energy (eV/atom) = -6.89
- mass density (g/cm3) = 7.95
- ΔE to the lowest computed polymorph (meV per atom) = 1034
- formation energy from the elements (meV/atom) = 1416
- total moment (μB/f.u.) = 2.9

a b c (Å): 4.7361 4.7361 4.7361
angles (deg): 90.00 90.00 90.00
Last column: magnetic moment on the atom in μB.
Positions (direct):
1 Ru 0.0000 0.5000 0.0000  1.04
2 Ru 0.0000 0.0000 0.5000  1.19
3 Ru 0.5000 0.0000 0.0000  0.78
4 Hf 0.0000 0.0000 0.0000  -0.14
5 Al 0.5000 0.5000 0.5000  -0.01